Entry 1:
A relaxed CoPS2N crystal, computed with GGA-PBE.

Lattice parameters (Å, degrees): 5.328 2.833 5.663 90.00 116.83 90.00
Space group Pm (No. 6)
One atom of each set of equivalent atoms:
Co 0.000 0.000 0.000 (multiplicity 1)
P 0.739 0.500 0.363 (multiplicity 1)
S 0.316 0.500 0.030 (multiplicity 1)
S 0.681 0.500 0.715 (multiplicity 1)
N 0.883 0.000 0.322 (multiplicity 1)

Values from the calculation:
Raw formation energy = 0.023 eV/atom


Entry 2:
A relaxed YAsI2N crystal, computed with GGA-PBE.

Lattice parameters (Å, degrees): 6.049 6.049 3.714 90.00 90.00 90.00
Space group P4/mmm (No. 123)
One atom of each set of equivalent atoms:
Y 0.000 0.000 0.000 (multiplicity 1)
As 0.500 0.500 0.500 (multiplicity 1)
I 0.000 0.500 0.500 (multiplicity 2)
N 0.500 0.500 0.000 (multiplicity 1)

Values from the calculation:
Raw formation energy = 0.264 eV/atom